# Er6ScZn2 | Alexandria | PBE | relaxed
# D(E_F), states/eV per atom: 1.0966
# ΔH_f (0 K), eV per atom: -0.1310
# Total magnetization, μB per formula unit: 0.000
data_Er6ScZn2
_cell_length_a 12.171
_cell_length_b 3.542
_cell_length_c 11.539
_cell_angle_alpha 90.00
_cell_angle_beta 109.39
_cell_angle_gamma 90.00
_symmetry_space_group_name_H-M 'C 1 2/m 1'
_symmetry_Int_Tables_number 12
_symmetry_space_group_name_Hall '-C 2y'
loop_
_atom_site_label
_atom_site_fract_x
_atom_site_fract_y
_atom_site_fract_z
Er1 0.027 0.000 0.326
Er2 0.184 0.500 0.590
Er3 0.187 0.500 0.878
Sc1 0.000 0.000 0.000
Zn1 0.144 0.500 0.191